This record from Alexandria describes La2ZnFeN after structural relaxation. The functional is PBE.

The space group is No. 123. The calculation puts the uncorrected energy at -30.9 eV per formula unit. The density is 6.8 g/cm3. For the uncorrected formation energy, the calculation gives -0.589 eV/atom.

Cell: 5.296 5.296 3.617 Å, 90.00 90.00 90.00°
Fractional coordinates of all 5 atoms:
La (0.000, 0.500, 0.000)
La (0.500, 0.000, 0.000)
Zn (0.000, 0.000, 0.500)
Fe (0.500, 0.500, 0.500)
N (0.500, 0.500, 0.000)